(1)
VASP calculation (PBE) on HoIn2Rh3 after structural relaxation.

The calculation puts the formation energy from the elements at -0.66 eV/atom. For the total energy, the calculation gives -6.011 eV/atom. As for the total moment: 0.00 μB/f.u.

The space group is P-3m1 (No. 164) and the conventional cell measures 4.6615, 4.6615 and 5.6637 Å, with angles of 90.00, 90.00 and 120.00 degrees. The asymmetric unit holds Ho at (0.0000, 0.0000, 0.0000), In at (0.3333, 0.6667, 0.6728), Rh at (0.0000, 0.0000, 0.5000) and Rh at (0.3333, 0.6667, 0.1826).



(2)
VASP calculation (PBE) on Ho2In5Rh3 after structural relaxation.

The calculation puts the formation energy from the elements at -0.55 eV/atom. For the total energy, the calculation gives -5.044 eV/atom. As for the total moment: 0.00 μB/f.u.

The space group is Cmc2_1 (No. 36) and the conventional cell measures 4.4154, 26.4263 and 7.2875 Å, with angles of 90.00, 90.00 and 90.00 degrees. The asymmetric unit holds Ho at (0.0000, 0.0265, 0.0000), Ho at (0.0000, 0.3237, 0.8870), In at (0.0000, 0.0972, 0.6110), In at (0.0000, 0.2065, 0.0850), In at (0.0000, 0.2082, 0.6789), In at (0.0000, 0.3736, 0.4520), In at (0.0000, 0.4463, 0.8306), Rh at (0.0000, 0.1108, 0.2286), Rh at (0.0000, 0.2691, 0.3795) and Rh at (0.0000, 0.4571, 0.2164).



(3)
VASP calculation (PBE) on Ho5InRh4 after structural relaxation.

The calculation puts the formation energy from the elements at -0.81 eV/atom. For the total energy, the calculation gives -6.318 eV/atom. As for the total moment: 0.00 μB/f.u.

The space group is P4/mmm (No. 123) and the conventional cell measures 3.4596, 3.4596 and 17.6413 Å, with angles of 90.00, 90.00 and 90.00 degrees. The asymmetric unit holds Ho at (0.0000, 0.0000, 0.0000), Ho at (0.0000, 0.0000, 0.1900), Ho at (0.0000, 0.0000, 0.3786), In at (0.5000, 0.5000, 0.5000), Rh at (0.5000, 0.5000, 0.0948) and Rh at (0.5000, 0.5000, 0.2867).



(4)
VASP calculation (PBE) on Ho2InRh after structural relaxation.

The calculation puts the formation energy from the elements at -0.69 eV/atom. The distance to the lowest polymorph of the same formula comes out at 0.000 eV per atom. For the total energy, the calculation gives -5.506 eV/atom. As for the total moment: 0.00 μB/f.u.

The space group is P4/mmm (No. 123) and the conventional cell measures 3.5157, 3.5157 and 7.4876 Å, with angles of 90.00, 90.00 and 90.00 degrees. The asymmetric unit holds Ho at (0.0000, 0.0000, 0.2171), In at (0.5000, 0.5000, 0.5000) and Rh at (0.5000, 0.5000, 0.0000).